Record 1
Density functional theory data (PBE) for an optimized crystal structure of DyInGa2Cl6.

Unit cell a=7.517 b=7.530 c=7.938 alpha=61.77 beta=61.74 gamma=60.06
Element x y z (fractional)
Dy1 0.000 0.000 0.000
In1 0.512 0.512 0.464
Ga1 0.313 0.312 0.063
Ga2 0.804 0.804 0.590
Cl1 0.095 0.758 0.794
Cl2 0.182 0.633 0.259
Cl3 0.353 0.096 0.795
Cl4 0.632 0.926 0.259
Cl5 0.757 0.353 0.795
Cl6 0.925 0.182 0.260

Values from the calculation:
Its symmetry is P1. The calculation puts the raw formation energy at -1.362 eV/atom.

Record 2
Density functional theory data (PBE) for an optimized crystal structure of K2DyGaCl6.

Unit cell a=7.852 b=7.852 c=7.852 alpha=58.01 beta=58.01 gamma=58.01
Element x y z (fractional)
K1 0.000 0.000 0.000
K2 0.492 0.492 0.492
Dy1 0.786 0.786 0.786
Ga1 0.277 0.277 0.277
Cl1 0.031 0.454 0.655
Cl2 0.123 0.915 0.573
Cl3 0.454 0.655 0.031
Cl4 0.573 0.123 0.915
Cl5 0.655 0.031 0.454
Cl6 0.915 0.573 0.123

Values from the calculation:
Its symmetry is R3. The calculation puts the raw formation energy at -1.868 eV/atom.

Record 3
Density functional theory data (PBE) for an optimized crystal structure of KDyGa2Cl6.

Unit cell a=7.525 b=7.533 c=7.892 alpha=61.55 beta=61.54 gamma=60.05
Element x y z (fractional)
K1 0.000 0.000 0.000
Dy1 0.509 0.509 0.472
Ga1 0.202 0.201 0.395
Ga2 0.705 0.705 0.886
Cl1 0.161 0.757 0.678
Cl2 0.326 0.592 0.208
Cl3 0.403 0.161 0.678
Cl4 0.592 0.873 0.208
Cl5 0.758 0.403 0.678
Cl6 0.873 0.328 0.207

Values from the calculation:
Its symmetry is P1. The calculation puts the raw formation energy at -1.604 eV/atom.

Record 4
Density functional theory data (PBE) for an optimized crystal structure of NaDyGa2Cl6.

Unit cell a=7.083 b=7.652 c=12.353 alpha=90.00 beta=123.14 gamma=90.00
Element x y z (fractional)
Na1 0.000 0.000 0.000
Na2 0.000 0.500 0.500
Dy1 0.500 0.000 0.500
Dy2 0.500 0.500 0.000
Ga1 0.208 0.074 0.726
Ga2 0.208 0.426 0.226
Ga3 0.792 0.574 0.774
Ga4 0.792 0.926 0.274
Cl1 0.142 0.178 0.455
Cl2 0.142 0.322 0.955
Cl3 0.251 0.712 0.428
Cl4 0.251 0.788 0.928
Cl5 0.385 0.049 0.258
Cl6 0.385 0.451 0.758
Cl7 0.615 0.549 0.242
Cl8 0.615 0.951 0.742
Cl9 0.749 0.212 0.072
Cl10 0.749 0.288 0.572
Cl11 0.858 0.678 0.045
Cl12 0.858 0.822 0.545

Values from the calculation:
Its symmetry is P2_1/c. The calculation puts the raw formation energy at -1.563 eV/atom.

Record 5
Density functional theory data (PBE) for an optimized crystal structure of DyGaPbCl6.

Unit cell a=6.731 b=6.731 c=12.876 alpha=90.00 beta=90.00 gamma=90.00
Element x y z (fractional)
Dy1 0.000 0.000 0.000
Dy2 0.500 0.500 0.500
Ga1 0.000 0.000 0.668
Ga2 0.500 0.500 0.168
Pb1 0.000 0.000 0.335
Pb2 0.500 0.500 0.835
Cl1 0.185 0.185 0.155
Cl2 0.192 0.192 0.850
Cl3 0.221 0.221 0.495
Cl4 0.279 0.721 0.995
Cl5 0.308 0.692 0.350
Cl6 0.315 0.685 0.655
Cl7 0.685 0.315 0.655
Cl8 0.692 0.308 0.350
Cl9 0.721 0.279 0.995
Cl10 0.779 0.779 0.495
Cl11 0.808 0.808 0.850
Cl12 0.815 0.815 0.155

Values from the calculation:
Its symmetry is P4_2nm. The calculation puts the raw formation energy at -1.554 eV/atom.

Record 6
Density functional theory data (PBE) for an optimized crystal structure of Rb2DyGaCl6.

Unit cell a=7.674 b=7.683 c=7.684 alpha=61.85 beta=61.84 gamma=61.86
Element x y z (fractional)
Rb1 0.000 0.000 0.000
Rb2 0.483 0.480 0.482
Dy1 0.241 0.240 0.240
Ga1 0.741 0.740 0.740
Cl1 0.018 0.395 0.553
Cl2 0.086 0.926 0.461
Cl3 0.395 0.553 0.020
Cl4 0.464 0.084 0.928
Cl5 0.553 0.020 0.397
Cl6 0.928 0.460 0.084

Values from the calculation:
Its symmetry is P1. The calculation puts the raw formation energy at -1.877 eV/atom.